Crystalline Zr2FeCo at its relaxed geometry, computed with PBE-GGA.

magnetic moment = 0.8 μB/f.u.
calculated formation energy = -189 meV/atom

a = 5.211 Å, b = 5.211 Å, c = 5.173 Å
α = 102.37°, β = 102.37°, γ = 98.78°
Fractional coordinates of all 8 atoms:
Co (0.002, 0.498, 0.966)
Co (0.498, 0.002, 0.966)
Fe (0.157, 0.157, 0.653)
Fe (0.686, 0.686, 0.650)
Zr (0.030, 0.030, 0.100)
Zr (0.537, 0.537, 0.098)
Zr (0.147, 0.632, 0.522)
Zr (0.632, 0.147, 0.522)